{
  "formula": "LiCo3F",
  "functional": "GGA+U",
  "state": "optimized geometry",
  "polymorph_energy_kj_per_mol_atoms": 0.00,
  "rho_g_cm3": 4.51,
  "total_magnetization_mub_per_cell": 5.2,
  "cell": [[4.210, 0.000, 0.000], [0.000, 4.210, 0.000], [0.000, 0.000, 4.210]],
  "species": ["Li", "Co", "Co", "Co", "F"],
  "fractional_positions": [[0.000, 0.000, 0.000], [0.000, 0.500, 0.500], [0.500, 0.000, 0.500], [0.500, 0.500, 0.000], [0.500, 0.500, 0.500]]
}